AlRe2Os, optimized geometry, DFT PBE; mass density = 16633 kg/m3; formation energy = 7.8 kJ per mole of atoms; D(E_F) = 8.75 states/eV per cell
1.0
5.172 0.000 0.000
0.000 8.114 0.000
0.000 0.000 2.805
Al Re Os
2 4 2
Direct
0.000 0.000 0.000 Al
0.500 0.500 0.000 Al
0.250 0.250 0.500 Re
0.250 0.750 0.500 Re
0.750 0.250 0.500 Re
0.750 0.750 0.500 Re
0.000 0.500 0.000 Os
0.500 0.000 0.000 Os